Run 1
CdRuSe2N PBE relaxed; magnetization = 0.00 μB/f.u.; V = 98.1 Å³/cell
1.0
5.184 0.000 0.000
0.000 5.184 0.000
0.000 0.000 3.650
Cd Ru Se N
1 1 2 1
direct
0.000 0.000 0.000
0.500 0.500 0.500
0.000 0.500 0.500
0.500 0.000 0.500
0.500 0.500 0.000

***

Run 2
CdRuSe2N PBE relaxed; magnetization = 2.78 μB/f.u.; V = 109.3 Å³/cell
1.0
5.227 0.000 0.000
0.000 5.227 0.000
0.000 0.000 4.001
Cd Ru Se N
1 1 2 1
direct
0.000 0.000 0.000
0.500 0.500 0.500
0.000 0.500 0.000
0.500 0.000 0.000
0.000 0.000 0.500

***

Least stable: run 2

***

Run 1
CdTeRuN2 PBE relaxed; magnetization = 0.43 μB/f.u.; V = 88.6 Å³/cell
1.0
3.924 0.000 0.000
0.000 3.924 0.000
0.000 0.000 5.754
Cd Te Ru N
1 1 1 2
direct
0.000 0.000 0.000
0.500 0.500 0.000
0.500 0.500 0.500
0.000 0.500 0.500
0.500 0.000 0.500

***

Run 2
CdTeRuN2 PBE relaxed; magnetization = 6.11 μB/f.u.; V = 110.5 Å³/cell
1.0
4.135 0.000 0.000
0.000 4.135 0.000
0.000 0.000 6.460
Cd Te Ru N
1 1 1 2
direct
0.000 0.000 0.000
0.000 0.000 0.500
0.500 0.500 0.500
0.000 0.500 0.000
0.500 0.000 0.000

***

Least stable: run 2

***

Run 1
Cd2SN PBE relaxed; magnetization = 1.03 μB/f.u.; V = 66.6 Å³/cell
1.0
0.000 3.218 3.218
3.218 0.000 3.218
3.218 3.218 0.000
Cd S N
2 1 1
direct
0.250 0.250 0.250
0.750 0.750 0.750
0.000 0.000 0.000
0.500 0.500 0.500

***

Run 2
Cd2SN PBE relaxed; magnetization = 0.00 μB/f.u.; V = 166.9 Å³/cell
1.0
-2.800 2.800 5.325
2.800 -2.800 5.325
2.800 2.800 -5.325
Cd S N
4 2 2
direct
0.066 0.625 0.941
0.375 0.316 0.441
0.684 0.125 0.059
0.875 0.934 0.559
0.250 0.750 0.500
0.500 0.500 0.000
0.000 0.000 0.000
0.750 0.250 0.500

***

Least stable: run 1

***

Run 1
CdS3N PBE relaxed; magnetization = 6.89 μB/f.u.; V = 138.0 Å³/cell
1.0
5.168 0.000 0.000
0.000 5.168 0.000
0.000 0.000 5.168
Cd S N
1 3 1
direct
0.000 0.000 0.000
0.000 0.000 0.500
0.000 0.500 0.000
0.500 0.000 0.000
0.500 0.500 0.500

***

Run 2
CdS3N PBE relaxed; magnetization = 0.00 μB/f.u.; V = 76.1 Å³/cell
1.0
4.237 0.000 0.000
0.000 4.237 0.000
0.000 0.000 4.237
Cd S N
1 3 1
direct
0.000 0.000 0.000
0.000 0.500 0.500
0.500 0.000 0.500
0.500 0.500 0.000
0.500 0.500 0.500

***

Least stable: run 1

***

Run 1
CdSbS2N PBE relaxed; magnetization = 1.95 μB/f.u.; V = 108.9 Å³/cell
1.0
5.137 0.000 0.000
0.000 5.137 0.000
0.000 0.000 4.125
Cd Sb S N
1 1 2 1
direct
0.000 0.000 0.000
0.500 0.500 0.500
0.000 0.500 0.000
0.500 0.000 0.000
0.000 0.000 0.500

***

Run 2
CdSbS2N PBE relaxed; magnetization = 0.00 μB/f.u.; V = 102.7 Å³/cell
1.0
5.126 0.000 0.000
0.000 5.126 0.000
0.000 0.000 3.907
Cd Sb S N
1 1 2 1
direct
0.000 0.000 0.000
0.500 0.500 0.500
0.000 0.500 0.500
0.500 0.000 0.500
0.500 0.500 0.000

***

Least stable: run 1

***

Run 1
CdSbSN2 PBE relaxed; magnetization = 0.62 μB/f.u.; V = 88.1 Å³/cell
1.0
3.981 0.000 0.000
0.000 3.981 0.000
0.000 0.000 5.557
Cd Sb S N
1 1 1 2
direct
0.000 0.000 0.000
0.500 0.500 0.500
0.500 0.500 0.000
0.000 0.500 0.500
0.500 0.000 0.500

***

Run 2
CdSbSN2 PBE relaxed; magnetization = 2.48 μB/f.u.; V = 97.5 Å³/cell
1.0
4.257 0.000 0.000
0.000 4.257 0.000
0.000 0.000 5.383
Cd Sb S N
1 1 1 2
direct
0.000 0.000 0.000
0.500 0.500 0.500
0.000 0.000 0.500
0.000 0.500 0.000
0.500 0.000 0.000

***

Least stable: run 2